## NaFe2PbF9 (PBE+U)

Data for crystalline NaFe2PbF9 at its relaxed geometry.

abc: 7.3783 12.6293 7.7403
angles: 90.00 92.93 90.00
Last column: nearest neighbours and their distance in Å.
Space group C2/c (No. 15)
Unique sites:
Na  0.2500  0.2500  0.0000  4 F 2.26-2.53
Fe  0.0000  0.0000  0.0000  6 F 1.94-1.96
Fe  0.2500  0.2500  0.5000  6 F 1.94-2.00
Pb  0.0000  0.4724  0.2500  8 F 2.56-2.82
F  0.0000  0.0262  0.7500  2 Fe 1.96
F  0.0415  0.1509  0.4572  2 Fe 1.96-2.00
F  0.0721  0.3513  0.5753  1 Fe 1.94
F  0.2073  0.3100  0.2697  1 Fe 1.95
F  0.2437  0.4653  0.9804  1 Fe 1.94

Summary:
Its total magnetization is 10.00 μB per formula unit. The calculation puts the density of states at the Fermi level at 0.0 states/eV/cell. The value obtained for the total energy is -5.07 eV/atom.